Entry 1:
ScNbTl PBE-GGA relaxed; symmetry = No. 216; ΔE to the lowest computed polymorph = 0.0000 eV per atom
1.0
0.000 3.327 3.327
3.327 0.000 3.327
3.327 3.327 0.000
Sc Nb Tl
1 1 1
direct
0.000 0.000 0.000
0.500 0.500 0.500
0.750 0.750 0.750



Entry 2:
ScUNb PBE-GGA relaxed; ΔE_f = 3.91 eV per formula unit; symmetry = No. 216; ΔE to the lowest computed polymorph = 0.4832 eV per atom
1.0
0.000 3.300 3.300
3.300 0.000 3.300
3.300 3.300 0.000
Sc U Nb
1 1 1
direct
0.000 0.000 0.000
0.750 0.750 0.750
0.500 0.500 0.500